[1]
A relaxed structure of Na2SrHgAs. Source: the Alexandria database, functional GGA-PBE.

Lattice parameters (Å, degrees): 5.5241 5.5241 6.0545 90.00 90.00 90.00
Last column: nearest neighbours and their distance in Å.
Space group P4/mmm (No. 123)
One atom of each set of equivalent atoms:
Na  0.0000  0.5000  0.0000 x2  2 As 2.76
Sr  0.0000  0.0000  0.5000 x1  2 As 3.03
Hg  0.5000  0.5000  0.5000 x1  4 Sr 3.91, 8 Na 4.10
As  0.0000  0.0000  0.0000 x1  4 Na 2.76, 2 Sr 3.03

Computed properties:
For the formation energy from the elements, the calculation gives -1.94 eV per formula unit. The calculation puts the mass density at 3.68 g cm⁻³. The calculation puts the raw total energy at -11.2 eV per cell. The value obtained for the calculated volume is 184.76 Å³ per cell.


[2]
A relaxed structure of Dy5YTl3. Source: the Alexandria database, functional GGA-PBE.

Lattice parameters (Å, degrees): 9.3673 9.3673 6.7384 90.00 90.00 120.00
Last column: nearest neighbours and their distance in Å.
Space group P6_3/mcm (No. 193)
One atom of each set of equivalent atoms:
Dy  0.0000  0.3365  0.2500 x6  5 Tl 3.12-3.37
Dy  0.3333  0.6667  0.0000 x4  8 Dy 3.37-3.53, 6 Tl 3.56
Y  0.0000  0.0000  0.0000 x2  2 Y 3.37, 6 Tl 3.52, 6 Dy 3.57
Tl  0.0000  0.3300  0.7500 x6  5 Dy 3.12-3.37

Computed properties:
For the formation energy from the elements, the calculation gives -2.38 eV per formula unit. The calculation puts the mass density at 9.82 g cm⁻³. The calculation puts the raw total energy at -77.9 eV per cell. The value obtained for the calculated volume is 512.06 Å³ per cell. The calculation puts the excess energy over the best structure of this formula in the dataset at 0 meV per atom.


[3]
A relaxed structure of AlVOs. Source: the Alexandria database, functional GGA-PBE.

Lattice parameters (Å, degrees): 3.0336 3.0336 9.0650 90.00 90.00 90.00
Last column: nearest neighbours and their distance in Å.
Space group I4mm (No. 107)
One atom of each set of equivalent atoms:
Al  0.0000  0.0000  0.0000 x2  5 Os 2.66-2.97, 5 V 2.68-2.93
V  0.0000  0.0000  0.3236 x2  4 Os 2.54, 4 Al 2.68
Os  0.0000  0.0000  0.6728 x2  4 V 2.54, 4 Al 2.66

Computed properties:
For the formation energy from the elements, the calculation gives -1.23 eV per formula unit. The calculation puts the mass density at 10.67 g cm⁻³. The calculation puts the raw total energy at -50.6 eV per cell. The value obtained for the calculated volume is 83.43 Å³ per cell.


[4]
A relaxed structure of Ni5Ir3. Source: the Alexandria database, functional GGA-PBE.

Lattice parameters (Å, degrees): 7.2333 7.2333 4.5408 90.00 90.00 120.00
Last column: nearest neighbours and their distance in Å.
Space group P6_3/mcm (No. 193)
One atom of each set of equivalent atoms:
Ni  0.0000  0.2098  0.2500 x6  5 Ir 2.52-2.80, 6 Ni 2.63-2.73
Ni  0.3333  0.6667  0.0000 x4  2 Ni 2.27, 6 Ir 2.48
Ir  0.0000  0.4027  0.7500 x6  8 Ni 2.48-2.66, 2 Ir 2.67

Computed properties:
For the formation energy from the elements, the calculation gives 1.79 eV per formula unit. The calculation puts the mass density at 14.04 g cm⁻³. The calculation puts the raw total energy at -107.4 eV per cell. The value obtained for the calculated volume is 205.75 Å³ per cell. The calculation puts the excess energy over the best structure of this formula in the dataset at 181 meV per atom.


[5]
A relaxed structure of LaPmSmSn. Source: the Alexandria database, functional GGA-PBE.

Lattice parameters (Å, degrees): 7.8345 7.8345 7.8345 90.00 90.00 90.00
Last column: nearest neighbours and their distance in Å.
Space group F-43m (No. 216)
One atom of each set of equivalent atoms:
La  0.0000  0.0000  0.0000 x4  4 Pm 3.39, 4 Sm 3.39
Pm  0.2500  0.2500  0.2500 x4  4 La 3.39, 4 Sn 3.39
Sm  0.2500  0.2500  0.7500 x4  4 La 3.39, 4 Sn 3.39
Sn  0.0000  0.0000  0.5000 x4  4 Pm 3.39, 4 Sm 3.39

Computed properties:
For the formation energy from the elements, the calculation gives -1.06 eV per formula unit. The calculation puts the mass density at 7.64 g cm⁻³. The calculation puts the raw total energy at -77.8 eV per cell. The value obtained for the calculated volume is 480.87 Å³ per cell.


[6]
A relaxed structure of PmPrDy2Mg. Source: the Alexandria database, functional GGA-PBE.

Lattice parameters (Å, degrees): 11.2400 4.9697 11.2410 90.00 90.15 90.00
Last column: nearest neighbours and their distance in Å.
Space group C2/m (No. 12)
One atom of each set of equivalent atoms:
Pm  0.2475  0.0000  0.2441 x4  6 Dy 3.48-3.61, 3 Mg 3.55-3.58, 3 Pr 3.55-3.56
Pr  0.0469  0.5000  0.3476 x4  6 Dy 3.53-3.59, 3 Pm 3.55-3.56, 1 Pr 3.59, 2 Mg 3.59
Dy  0.1473  0.5000  0.0470 x4  5 Mg 3.41-3.52, 3 Dy 3.47-3.55, 3 Pm 3.48-3.51, 1 Pr 3.56
Dy  0.1549  0.0000  0.5516 x4  3 Dy 3.48-3.67, 5 Pr 3.53-3.59, 3 Pm 3.56-3.61, 1 Mg 3.66
Mg  0.0537  0.0000  0.8607 x4  1 Mg 3.36, 6 Dy 3.41-3.66, 3 Pm 3.55-3.58, 2 Pr 3.59

Computed properties:
For the formation energy from the elements, the calculation gives 0.13 eV per formula unit. The calculation puts the mass density at 6.72 g cm⁻³. The calculation puts the raw total energy at -80.8 eV per cell. The value obtained for the calculated volume is 627.91 Å³ per cell.


[7]
A relaxed structure of Nd2HfN. Source: the Alexandria database, functional GGA-PBE.

Lattice parameters (Å, degrees): 3.4485 3.4485 28.0983 90.00 90.00 120.00
Last column: nearest neighbours and their distance in Å.
Space group R-3m (No. 166, hexagonal axes)
One atom of each set of equivalent atoms:
Nd  0.0000  0.0000  0.1156 x6  3 N 2.45
Hf  0.0000  0.0000  0.0000 x3  2 Nd 3.25, 6 Hf 3.45
N  0.0000  0.0000  0.5000 x3  6 Nd 2.45

Computed properties:
For the raw formation energy, the calculation gives -0.2766 eV per atom. The calculation puts the mass density at 8.28 g cm⁻³. The calculation puts the raw total energy at -86.8 eV per cell. The value obtained for the calculated volume is 289.38 Å³ per cell.


[8]
A relaxed structure of Fe3HW. Source: the Alexandria database, functional GGA-PBE.

Lattice parameters (Å, degrees): 5.6456 8.0233 4.6924 90.00 90.00 90.00
Last column: nearest neighbours and their distance in Å.
Space group Cmcm (No. 63)
One atom of each set of equivalent atoms:
Fe  0.0000  0.0000  0.0000 x4  2 H 1.71
Fe  0.1958  0.2946  0.2500 x8  1 H 1.77
H  0.0000  0.1546  0.7500 x4  4 Fe 1.71-1.77
W  0.0000  0.4150  0.7500 x4  1 H 2.09

Computed properties:
The calculation puts the mass density at 11.01 g cm⁻³. The calculation puts the raw total energy at -159.4 eV per cell. The value obtained for the calculated volume is 212.55 Å³ per cell. The calculation puts the excess energy over the best structure of this formula in the dataset at 363 meV per atom.


[9]
A relaxed structure of Be2TcP. Source: the Alexandria database, functional GGA-PBE.

Lattice parameters (Å, degrees): 2.7348 2.7348 21.7409 90.00 90.00 120.00
Last column: nearest neighbours and their distance in Å.
Space group R-3m (No. 166, hexagonal axes)
One atom of each set of equivalent atoms:
Be  0.0000  0.0000  0.2450 x6  3 P 2.32, 3 Tc 2.49
Tc  0.0000  0.0000  0.0000 x3  6 Be 2.49, 6 Tc 2.73
P  0.0000  0.0000  0.5000 x3  6 Be 2.32

Computed properties:
For the formation energy from the elements, the calculation gives 0.95 eV per formula unit. The calculation puts the mass density at 5.20 g cm⁻³. The calculation puts the raw total energy at -66.8 eV per cell. The value obtained for the calculated volume is 140.82 Å³ per cell.


[10]
A relaxed structure of SrBe2Cu. Source: the Alexandria database, functional GGA-PBE.

Lattice parameters (Å, degrees): 3.9232 3.9232 16.1574 90.00 90.00 120.00
Last column: nearest neighbours and their distance in Å.
Space group R-3m (No. 166, hexagonal axes)
One atom of each set of equivalent atoms:
Sr  0.0000  0.0000  0.0000 x3  2 Be 2.92
Be  0.0000  0.0000  0.1807 x6  3 Cu 2.28, 3 Be 2.31
Cu  0.0000  0.0000  0.5000 x3  6 Be 2.28

Computed properties:
For the formation energy from the elements, the calculation gives 0.16 eV per formula unit. The calculation puts the mass density at 3.91 g cm⁻³. The calculation puts the raw total energy at -39.2 eV per cell. The value obtained for the calculated volume is 215.37 Å³ per cell. The calculation puts the excess energy over the best structure of this formula in the dataset at 0 meV per atom.


[11]
A relaxed structure of ZnTeW. Source: the Alexandria database, functional GGA-PBE.

Lattice parameters (Å, degrees): 6.3297 6.3297 6.3297 90.00 90.00 90.00
Last column: nearest neighbours and their distance in Å.
Space group F-43m (No. 216)
One atom of each set of equivalent atoms:
Zn  0.0000  0.0000  0.0000 x4  4 W 2.74
Te  0.0000  0.0000  0.5000 x4  4 W 2.74
W  0.2500  0.2500  0.2500 x4  4 Te 2.74, 4 Zn 2.74

Computed properties:
For the raw formation energy, the calculation gives 0.8078 eV per atom. The calculation puts the mass density at 9.87 g cm⁻³. The calculation puts the raw total energy at -59.8 eV per cell. The value obtained for the calculated volume is 253.60 Å³ per cell. The calculation puts the excess energy over the best structure of this formula in the dataset at 384 meV per atom.


[12]
A relaxed structure of LiHf3Al. Source: the Alexandria database, functional GGA-PBE.

Lattice parameters (Å, degrees): 4.6612 4.6612 4.6612 90.00 90.00 90.00
Last column: nearest neighbours and their distance in Å.
Space group Pm-3m (No. 221)
One atom of each set of equivalent atoms:
Li  0.0000  0.0000  0.0000 x1  6 Hf 2.33
Hf  0.0000  0.0000  0.5000 x3  2 Li 2.33
Al  0.5000  0.5000  0.5000 x1  12 Hf 3.30

Computed properties:
For the formation energy from the elements, the calculation gives 3.05 eV per formula unit. The calculation puts the mass density at 9.34 g cm⁻³. The calculation puts the raw total energy at -32.5 eV per cell. The value obtained for the calculated volume is 101.27 Å³ per cell. The calculation puts the excess energy over the best structure of this formula in the dataset at 0 meV per atom.